HgPtWO6: relaxed, PBE with a Hubbard U.

Calculated values
**DFT total energy**: -5.737 eV/atom
**Space-group type**: Imma, No. 74
**D(E_F)**: 7.6 states/eV/cell

a b c (Å): 7.335 7.156 7.325
angles (deg): 119.24 120.04 90.00
Element x y z (fractional)
1 Hg 0.798 0.548 0.595
2 Hg 0.202 0.452 0.405
3 Pt 0.500 0.500 0.000
4 Pt 0.500 0.000 0.000
5 W 0.500 0.000 0.500
6 W 0.000 0.000 0.500
7 O 0.422 0.672 0.844
8 O 0.809 0.059 0.618
9 O 0.822 0.076 0.258
10 O 0.436 0.682 0.258
11 O 0.436 0.076 0.258
12 O 0.822 0.682 0.258
13 O 0.578 0.328 0.156
14 O 0.191 0.941 0.382
15 O 0.178 0.924 0.742
16 O 0.564 0.318 0.742
17 O 0.564 0.924 0.742
18 O 0.178 0.318 0.742